DFT (PBE) results for an optimized crystal structure of Al2Tc.

It has space group C2/m (No. 12), with a = 9.4407 Å, b = 3.0934 Å, c = 6.4343 Å, α = 90.00°, β = 107.64° and γ = 90.00°. The asymmetric unit holds Al at (0.0316, 0.0000, 0.3141), Al at (0.1551, 0.5000, 0.0562) and Tc at (0.1830, 0.5000, 0.6416).

The volume is 14.92 Å³/atom. The total magnetization comes out at 0.00 μB per formula unit. For the raw total energy, the calculation gives -6.2987 eV/atom. The calculation puts the energy relative to the lowest polymorph listed for this composition at 0.124 eV per atom.